VASP calculation (PBE-GGA) on NaYCdTe3 after structural relaxation.

- M_tot (μB per atom) = 0.0004
- symmetry = Pnma, No. 62
- polymorph energy (0 for the lowest one) (eV per atom) = 0.038

```
24
Lattice="-3.923 1.516 -1.392 -5.056 -2.003 12.066 3.568 12.515 3.573" Properties=species:S:1:pos:R:3 pbc="T T T"
Cd -3.751 1.903 9.117
Cd -3.086 4.009 2.487
Cd -2.325 8.019 11.760
Cd -1.660 10.125 5.130
Na -5.569 0.003 12.171
Na -4.145 4.770 6.301
Na -1.266 7.258 7.946
Na 0.158 12.026 2.076
Te -3.545 1.546 1.098
Te -3.595 0.246 6.874
Te -6.448 2.245 10.040
Te -1.779 3.117 4.882
Te -1.825 6.228 1.350
Te -2.743 4.584 9.197
Te -2.668 7.444 5.050
Te -3.586 5.800 12.897
Te -3.632 8.911 9.365
Te 1.037 9.783 4.207
Te -1.816 11.782 7.373
Te -1.866 10.483 13.149
Y -2.477 0.339 3.825
Y -5.538 5.106 10.592
Y 0.127 6.922 3.655
Y -2.934 11.689 10.422
```

***

VASP calculation (PBE-GGA) on La2Mg4AgPt after structural relaxation.

- M_tot (μB per atom) = 0.0002
- symmetry = Amm2, No. 38
- uncorrected energy (eV/atom) = -3.59

```
8
Lattice="8.335 0.000 0.000 0.000 2.209 5.275 0.000 -2.209 5.275" Properties=species:S:1:pos:R:3 pbc="T T T"
Ag 4.167 0.000 2.411
La 0.000 0.000 0.639
La 4.167 0.000 9.923
Mg 1.570 0.000 3.671
Mg 6.765 0.000 3.671
Mg 2.475 0.000 6.859
Mg 5.860 0.000 6.859
Pt 0.000 0.000 8.162
```

***

VASP calculation (PBE-GGA) on KDyCdTe3 after structural relaxation.

- M_tot (μB per atom) = 0.0001
- symmetry = P2_1/m, No. 11
- polymorph energy (0 for the lowest one) (eV per atom) = 0.009

```
12
Lattice="-6.481 -5.783 -2.919 1.894 -3.320 2.372 -3.554 4.659 9.359" Properties=species:S:1:pos:R:3 pbc="T T T"
Cd -2.681 -3.099 4.202
Cd -5.459 -1.344 4.610
Dy -1.175 -1.234 1.343
Dy -6.966 -3.209 7.469
K -5.250 -3.847 0.940
K -2.890 -0.596 7.871
Te -1.758 -4.268 1.828
Te -5.311 -7.308 0.411
Te -2.757 -0.211 4.039
Te -5.383 -4.232 4.773
Te -2.830 2.864 8.401
Te -6.383 -0.175 6.984
```

***

VASP calculation (PBE-GGA) on PuMgU after structural relaxation.

- M_tot (μB per atom) = 2.8473
- symmetry = F-43m, No. 216
- polymorph energy (0 for the lowest one) (eV per atom) = 0.000

```
3
Lattice="-1.103 1.559 4.396 -4.342 -0.872 1.833 -0.498 -3.128 3.597" Properties=species:S:1:pos:R:3 pbc="T T T"
Mg -1.486 -0.610 2.456
Pu 0.000 0.000 0.000
U -4.457 -1.831 7.369
```

***

VASP calculation (PBE-GGA) on ScTaCoPb after structural relaxation.

- M_tot (μB per atom) = 0.7496
- symmetry = F-43m, No. 216
- polymorph energy (0 for the lowest one) (eV per atom) = 0.000

```
4
Lattice="-3.211 -3.082 1.498 -1.074 -0.240 4.565 -4.181 1.513 1.512" Properties=species:S:1:pos:R:3 pbc="T T T"
Co -6.349 -1.357 5.681
Pb 0.000 0.000 0.000
Sc -2.116 -0.452 1.894
Ta -4.232 -0.905 3.787
```

***

VASP calculation (PBE-GGA) on Pa2Be2O5 after structural relaxation.

- M_tot (μB per atom) = 0.2255
- symmetry = P4/mmm, No. 123
- polymorph energy (0 for the lowest one) (eV per atom) = 0.000

```
9
Lattice="7.244 0.000 0.000 0.000 3.786 0.000 0.000 0.000 3.786" Properties=species:S:1:pos:R:3 pbc="T T T"
Be 1.916 1.893 1.893
Be 5.328 1.893 1.893
O 1.800 1.893 0.000
O 5.444 1.893 0.000
O 1.800 0.000 1.893
O 5.444 0.000 1.893
O 3.622 1.893 1.893
Pa 0.000 0.000 0.000
Pa 3.622 0.000 0.000
```